(1)
Here is a crystal of VCu3O4 relaxed with PBEsol from the Alexandria database. Energies are from meta-GGA SCAN.

extended XYZ file:
```
8
Lattice="-2.248 2.248 4.427 2.248 -2.248 4.427 2.248 2.248 -4.427" Properties=species:S:1:pos:R:3 pbc="T T T"
V 0.000 0.000 0.000
Cu 2.248 0.000 2.213
Cu 0.000 0.000 4.427
Cu 0.000 2.248 2.213
O 1.227 -1.227 3.412
O 1.021 1.021 1.015
O -1.227 1.227 3.412
O 1.227 1.227 5.442
```

Output
Symmetry   No. 121
Formation energy without anion corrections   -1338.6 meV/atom
Calculated total energy   -98.72 eV per cell
Size of the total moment   0.00 μB/f.u.

***

(2)
Here is a crystal of ZrReTe2 relaxed with PBEsol from the Alexandria database. Energies are from meta-GGA SCAN.

extended XYZ file:
```
4
Lattice="4.765 0.000 0.000 0.000 4.765 0.000 0.000 0.000 3.401" Properties=species:S:1:pos:R:3 pbc="T T T"
Zr 0.000 0.000 0.000
Re 2.382 2.382 0.000
Te 0.000 2.382 1.701
Te 2.382 0.000 1.701
```

Output
Symmetry   No. 123
Formation energy without anion corrections   10.6 meV/atom
Calculated total energy   -176.26 eV per cell
Size of the total moment   0.00 μB/f.u.

***

(3)
Here is a crystal of HfNb2SnPd relaxed with PBEsol from the Alexandria database. Energies are from meta-GGA SCAN.

extended XYZ file:
```
5
Lattice="4.882 0.000 0.000 0.000 4.882 0.000 0.000 0.000 4.777" Properties=species:S:1:pos:R:3 pbc="T T T"
Hf 0.000 0.000 0.000
Nb 0.000 2.441 0.000
Nb 2.441 0.000 0.000
Sn 2.441 2.441 2.388
Pd 0.000 0.000 2.388
```

Output
Symmetry   No. 123
E_form   5.686 eV/f.u.
Calculated total energy   -191.94 eV per cell
Size of the total moment   0.00 μB/f.u.

***

(4)
Here is a crystal of AlFe2Co relaxed with PBEsol from the Alexandria database. Energies are from meta-GGA SCAN.

extended XYZ file:
```
4
Lattice="-1.425 1.959 4.010 1.425 -1.959 4.010 1.425 1.959 -4.010" Properties=species:S:1:pos:R:3 pbc="T T T"
Al 0.000 0.000 0.000
Fe 1.425 0.000 2.061
Fe 0.000 1.959 1.949
Co 0.000 0.000 4.010
```

Output
Symmetry   No. 71
E_form   -1.177 eV/f.u.
Calculated total energy   -62.49 eV per cell
Size of the total moment   6.08 μB/f.u.

***

(5)
Here is a crystal of Tl2AsBr relaxed with PBEsol from the Alexandria database. Energies are from meta-GGA SCAN.

extended XYZ file:
```
4
Lattice="3.520 0.000 0.000 0.000 3.520 0.000 0.000 0.000 8.399" Properties=species:S:1:pos:R:3 pbc="T T T"
Tl 0.000 0.000 2.037
Tl 0.000 0.000 6.362
As 1.760 1.760 0.000
Br 1.760 1.760 4.199
```

Output
Symmetry   No. 123
Formation energy without anion corrections   -98.7 meV/atom
Calculated total energy   -184.76 eV per cell
Size of the total moment   0.00 μB/f.u.

***

(6)
Here is a crystal of InW relaxed with PBEsol from the Alexandria database. Energies are from meta-GGA SCAN.

extended XYZ file:
```
4
Lattice="3.298 0.000 0.000 0.000 3.298 0.000 0.000 0.000 6.786" Properties=species:S:1:pos:R:3 pbc="T T T"
In 0.825 0.825 1.015
In 2.474 2.474 5.771
W 0.825 0.825 4.058
W 2.474 2.474 2.728
```

Output
Symmetry   No. 129
E_form   0.920 eV/f.u.
Calculated total energy   -204.31 eV per cell
Size of the total moment   0.00 μB/f.u.

***

(7)
Here is a crystal of ZrRh2Se relaxed with PBEsol from the Alexandria database. Energies are from meta-GGA SCAN.

extended XYZ file:
```
4
Lattice="3.290 0.000 0.000 0.000 4.243 0.000 0.000 0.000 4.495" Properties=species:S:1:pos:R:3 pbc="T T T"
Zr 0.000 0.000 0.000
Rh 0.000 2.121 2.247
Rh 1.645 2.121 0.000
Se 1.645 0.000 2.247
```

Output
Symmetry   No. 47
Formation energy without anion corrections   -560.0 meV/atom
Calculated total energy   -120.56 eV per cell
Size of the total moment   0.00 μB/f.u.

***

(8)
Here is a crystal of NdFe2Si2 relaxed with PBEsol from the Alexandria database. Energies are from meta-GGA SCAN.

extended XYZ file:
```
5
Lattice="-1.986 1.986 4.810 1.986 -1.986 4.810 1.986 1.986 -4.810" Properties=species:S:1:pos:R:3 pbc="T T T"
Nd 0.000 0.000 0.000
Fe 1.986 0.000 2.405
Fe 0.000 1.986 2.405
Si 0.000 0.000 3.471
Si 0.000 0.000 6.148
```

Output
Symmetry   No. 139
Formation energy without anion corrections   -513.4 meV/atom
Calculated total energy   -102.44 eV per cell
Size of the total moment   0.00 μB/f.u.